# 1
DFT (PBE) results for crystalline CsLi2Sn at its relaxed geometry.

Summary:
Energy of formation   -0.208 eV per atom
Space group   R-3m
V   139.7 Å³/f.u.
Total DFT energy (no corrections)   -2.379 eV per atom
Size of the total moment   0.433 μB per formula unit

Cell lengths 4.9116, 4.9116, 7.2619 Å; angles 70.23, 70.23, 60.00 degrees
Fractional coordinates of all 4 atoms:
Li (0.6801, 0.6801, 0.9598)
Li (0.3199, 0.3199, 0.0402)
Cs (0.5000, 0.5000, 0.5000)
Sn (0.0000, 0.0000, 0.0000)

# 2
DFT (PBE) results for crystalline CsLi2Sn2 at its relaxed geometry.

Summary:
Distance to the lowest polymorph of the same formula   0.000 eV/atom
Energy of formation   -0.181 eV per atom
Space group   I4/mmm
V   156.4 Å³/f.u.
Total DFT energy (no corrections)   -2.718 eV per atom
Size of the total moment   0.000 μB per formula unit

Cell lengths 5.4546, 5.4546, 6.5187 Å; angles 65.27, 65.27, 90.00 degrees
Fractional coordinates of all 5 atoms:
Sn (0.3685, 0.3685, 0.2631)
Sn (0.6315, 0.6315, 0.7369)
Cs (0.0000, 0.0000, 0.0000)
Li (0.2500, 0.7500, 0.5000)
Li (0.7500, 0.2500, 0.5000)

# 3
DFT (PBE) results for crystalline CsLiSnTe2 at its relaxed geometry.

Summary:
Space group   C2/m
V   207.3 Å³/f.u.
Total DFT energy (no corrections)   -3.351 eV per atom
ΔE_f (raw)   -0.7405 eV/atom
Size of the total moment   0.000 μB per formula unit

Cell lengths 4.7147, 8.5520, 10.6984 Å; angles 89.32, 90.00, 106.00 degrees
Fractional coordinates of all 10 atoms:
Sn (0.0608, 0.1216, 0.2150)
Sn (0.9392, 0.8784, 0.7850)
Te (0.6548, 0.3096, 0.3228)
Te (0.3452, 0.6904, 0.6772)
Te (0.8674, 0.7348, 0.0318)
Te (0.1326, 0.2652, 0.9682)
Li (0.3033, 0.6066, 0.9346)
Li (0.6967, 0.3934, 0.0654)
Cs (0.6510, 0.3020, 0.6868)
Cs (0.3490, 0.6980, 0.3132)

# 4
DFT (PBE) results for crystalline CsLiSnTe at its relaxed geometry.

Summary:
Space group   P4/nmm
V   149.7 Å³/f.u.
Total DFT energy (no corrections)   -3.104 eV per atom
ΔE_f (raw)   -0.6258 eV/atom
Size of the total moment   0.000 μB per formula unit

Cell lengths 4.4126, 4.4126, 15.3765 Å; angles 90.00, 90.00, 90.00 degrees
Fractional coordinates of all 8 atoms:
Li (0.2500, 0.7500, 0.0000)
Li (0.7500, 0.2500, 0.0000)
Te (0.2500, 0.2500, 0.1103)
Te (0.7500, 0.7500, 0.8897)
Cs (0.7500, 0.7500, 0.2454)
Cs (0.2500, 0.2500, 0.7546)
Sn (0.2500, 0.7500, 0.5000)
Sn (0.7500, 0.2500, 0.5000)

# 5
DFT (PBE) results for crystalline Cs2LiSnTe4 at its relaxed geometry.

Summary:
Space group   Fddd
V   348.6 Å³/f.u.
Total DFT energy (no corrections)   -3.188 eV per atom
ΔE_f (raw)   -0.6640 eV/atom
Size of the total moment   0.000 μB per formula unit

Cell lengths 6.6577, 8.7964, 13.2855 Å; angles 84.56, 75.49, 67.76 degrees
Fractional coordinates of all 16 atoms:
Cs (0.9329, 0.5000, 0.1342)
Cs (0.5671, 0.5000, 0.8658)
Cs (0.8171, 0.0000, 0.3658)
Cs (0.1829, 0.0000, 0.6342)
Te (0.2143, 0.2064, 0.8813)
Te (0.9044, 0.7936, 0.8813)
Te (0.5357, 0.2936, 0.6187)
Te (0.8456, 0.7064, 0.6187)
Te (0.4480, 0.7064, 0.3813)
Te (0.5793, 0.2064, 0.1187)
Te (0.1707, 0.2936, 0.3813)
Te (0.3020, 0.7936, 0.1187)
Sn (0.5000, 0.0000, 0.0000)
Sn (0.2500, 0.5000, 0.5000)
Li (0.7500, 0.5000, 0.5000)
Li (0.0000, 0.0000, 0.0000)

# 6
DFT (PBE) results for crystalline CsLi2SnTe at its relaxed geometry.

Summary:
Space group   P4/mmm
V   183.1 Å³/f.u.
Total DFT energy (no corrections)   -2.669 eV per atom
ΔE_f (raw)   -0.3042 eV/atom
Size of the total moment   0.000 μB per formula unit

Cell lengths 5.4592, 6.1422, 5.4592 Å; angles 90.00, 90.00, 90.00 degrees
Fractional coordinates of all 5 atoms:
Li (0.5000, 0.0000, 0.0000)
Li (0.0000, 0.0000, 0.5000)
Cs (0.5000, 0.5000, 0.5000)
Te (0.0000, 0.5000, 0.0000)
Sn (0.0000, 0.0000, 0.0000)

# 7
DFT (PBE) results for crystalline CsLiTl2Sn at its relaxed geometry.

Summary:
Energy of formation   -0.003 eV per atom
Space group   P4/mmm
V   201.5 Å³/f.u.
Total DFT energy (no corrections)   -2.304 eV per atom
Size of the total moment   0.000 μB per formula unit

Cell lengths 6.0604, 6.0604, 5.4858 Å; angles 90.00, 90.00, 90.00 degrees
Fractional coordinates of all 5 atoms:
Tl (0.0000, 0.5000, 0.0000)
Tl (0.5000, 0.0000, 0.0000)
Cs (0.5000, 0.5000, 0.5000)
Sn (0.0000, 0.0000, 0.0000)
Li (0.0000, 0.0000, 0.5000)

# 8
DFT (PBE) results for crystalline Cs2LiSnW at its relaxed geometry.

Summary:
Energy of formation   1.126 eV per atom
Space group   P4/mmm
V   228.2 Å³/f.u.
Total DFT energy (no corrections)   -2.990 eV per atom
Size of the total moment   3.658 μB per formula unit

Cell lengths 6.5092, 5.3862, 6.5092 Å; angles 90.00, 90.00, 90.00 degrees
Fractional coordinates of all 5 atoms:
Cs (0.5000, 0.0000, 0.0000)
Cs (0.0000, 0.0000, 0.5000)
Li (0.5000, 0.5000, 0.5000)
W (0.0000, 0.0000, 0.0000)
Sn (0.0000, 0.5000, 0.0000)

# 9
DFT (PBE) results for crystalline CsLiZrSn2 at its relaxed geometry.

Summary:
Energy of formation   0.173 eV per atom
Space group   P4/mmm
V   192.4 Å³/f.u.
Total DFT energy (no corrections)   -3.691 eV per atom
Size of the total moment   1.036 μB per formula unit

Cell lengths 5.6501, 6.0280, 5.6501 Å; angles 90.00, 90.00, 90.00 degrees
Fractional coordinates of all 5 atoms:
Zr (0.0000, 0.0000, 0.0000)
Sn (0.0000, 0.0000, 0.5000)
Sn (0.5000, 0.0000, 0.0000)
Cs (0.5000, 0.5000, 0.5000)
Li (0.0000, 0.5000, 0.0000)

# 10
DFT (PBE) results for crystalline CsSr2Li2 at its relaxed geometry.

Summary:
Distance to the lowest polymorph of the same formula   0.024 eV/atom
Energy of formation   0.157 eV per atom
Space group   I4/mmm
V   245.3 Å³/f.u.
Total DFT energy (no corrections)   -1.452 eV per atom
Size of the total moment   0.029 μB per formula unit

Cell lengths 4.2175, 4.2175, 14.1114 Å; angles 81.41, 81.41, 90.00 degrees
Fractional coordinates of all 5 atoms:
Sr (0.3575, 0.3575, 0.2850)
Sr (0.6425, 0.6425, 0.7150)
Li (0.2500, 0.7500, 0.5000)
Li (0.7500, 0.2500, 0.5000)
Cs (0.0000, 0.0000, 0.0000)

# 11
DFT (PBE) results for crystalline Cs2SrLi2 at its relaxed geometry.

Summary:
Distance to the lowest polymorph of the same formula   0.073 eV/atom
Energy of formation   0.291 eV per atom
Space group   P4/mbm
V   280.6 Å³/f.u.
Total DFT energy (no corrections)   -1.152 eV per atom
Size of the total moment   0.003 μB per formula unit

Cell lengths 11.4989, 11.4989, 4.2445 Å; angles 90.00, 90.00, 90.00 degrees
Fractional coordinates of all 10 atoms:
Sr (0.5000, 0.5000, 0.0000)
Sr (0.0000, 0.0000, 0.0000)
Cs (0.8689, 0.6311, 0.0000)
Cs (0.1311, 0.3689, 0.0000)
Cs (0.3689, 0.8689, 0.0000)
Cs (0.6311, 0.1311, 0.0000)
Li (0.8256, 0.3256, 0.5000)
Li (0.3256, 0.1744, 0.5000)
Li (0.6744, 0.8256, 0.5000)
Li (0.1744, 0.6744, 0.5000)

# 12
DFT (PBE) results for crystalline Cs4Sr2Li at its relaxed geometry.

Summary:
Energy of formation   0.319 eV per atom
Space group   I4/mmm
V   650.9 Å³/f.u.
Total DFT energy (no corrections)   -0.923 eV per atom
Size of the total moment   0.000 μB per formula unit

Cell lengths 7.4979, 7.4979, 12.7342 Å; angles 72.88, 72.88, 90.00 degrees
Fractional coordinates of all 7 atoms:
Li (0.0000, 0.0000, 0.0000)
Cs (0.8207, 0.8207, 0.3586)
Cs (0.1793, 0.1793, 0.6414)
Cs (0.5000, 0.0000, 0.0000)
Cs (0.0000, 0.5000, 0.0000)
Sr (0.3888, 0.3888, 0.2224)
Sr (0.6112, 0.6112, 0.7776)

# 13
DFT (PBE) results for crystalline CsSr2Li at its relaxed geometry.

Summary:
Energy of formation   0.481 eV per atom
Space group   I-42d
V   327.9 Å³/f.u.
Total DFT energy (no corrections)   -1.051 eV per atom
Size of the total moment   0.000 μB per formula unit

Cell lengths 9.0026, 9.0026, 10.2957 Å; angles 64.07, 64.07, 90.00 degrees
Fractional coordinates of all 8 atoms:
Sr (0.3733, 0.6250, 0.2500)
Sr (0.3767, 0.1250, 0.2500)
Sr (0.8750, 0.6267, 0.7500)
Sr (0.3750, 0.6233, 0.7500)
Li (0.5000, 0.5000, 0.0000)
Li (0.2500, 0.7500, 0.5000)
Cs (0.7500, 0.2500, 0.5000)
Cs (0.0000, 0.0000, 0.0000)

# 14
DFT (PBE) results for crystalline Cs2SrLi2 at its relaxed geometry.

Summary:
Distance to the lowest polymorph of the same formula   0.161 eV/atom
Energy of formation   0.380 eV per atom
Space group   I4/mmm
V   310.7 Å³/f.u.
Total DFT energy (no corrections)   -1.063 eV per atom
Size of the total moment   0.000 μB per formula unit

Cell lengths 8.2540, 8.2540, 8.2540 Å; angles 131.30, 131.30, 71.34 degrees
Fractional coordinates of all 5 atoms:
Li (0.7500, 0.2500, 0.5000)
Li (0.2500, 0.7500, 0.5000)
Cs (0.6409, 0.6409, 0.0000)
Cs (0.3591, 0.3591, 0.0000)
Sr (0.0000, 0.0000, 0.0000)

# 15
DFT (PBE) results for crystalline CsSr2Li at its relaxed geometry.

Summary:
Energy of formation   0.213 eV per atom
Space group   R-3m
V   226.2 Å³/f.u.
Total DFT energy (no corrections)   -1.320 eV per atom
Size of the total moment   0.000 μB per formula unit

Cell lengths 4.3467, 4.3467, 14.0527 Å; angles 81.10, 81.10, 60.00 degrees
Fractional coordinates of all 4 atoms:
Sr (0.1039, 0.1039, 0.6883)
Sr (0.8961, 0.8961, 0.3117)
Cs (0.0000, 0.0000, 0.0000)
Li (0.5000, 0.5000, 0.5000)

# 16
DFT (PBE) results for crystalline CsSrLi2 at its relaxed geometry.

Summary:
Distance to the lowest polymorph of the same formula   0.000 eV/atom
Energy of formation   0.134 eV per atom
Space group   P4/mmm
V   194.9 Å³/f.u.
Total DFT energy (no corrections)   -1.457 eV per atom
Size of the total moment   0.000 μB per formula unit

Cell lengths 4.5932, 4.5932, 9.2379 Å; angles 90.00, 90.00, 90.00 degrees
Fractional coordinates of all 4 atoms:
Li (0.0000, 0.0000, 0.1776)
Li (0.0000, 0.0000, 0.8224)
Sr (0.5000, 0.5000, 0.0000)
Cs (0.5000, 0.5000, 0.5000)

# 17
DFT (PBE) results for crystalline CsSr2Li2 at its relaxed geometry.

Summary:
Distance to the lowest polymorph of the same formula   0.000 eV/atom
Energy of formation   0.133 eV per atom
Space group   P4/mbm
V   237.3 Å³/f.u.
Total DFT energy (no corrections)   -1.476 eV per atom
Size of the total moment   0.000 μB per formula unit

Cell lengths 10.2961, 10.2961, 4.4772 Å; angles 90.00, 90.00, 90.00 degrees
Fractional coordinates of all 10 atoms:
Sr (0.1502, 0.6502, 0.5000)
Sr (0.6502, 0.8498, 0.5000)
Sr (0.8498, 0.3498, 0.5000)
Sr (0.3498, 0.1502, 0.5000)
Li (0.8699, 0.6301, 0.0000)
Li (0.1301, 0.3699, 0.0000)
Li (0.3699, 0.8699, 0.0000)
Li (0.6301, 0.1301, 0.0000)
Cs (0.5000, 0.5000, 0.0000)
Cs (0.0000, 0.0000, 0.0000)

# 18
DFT (PBE) results for crystalline CsSrLi3 at its relaxed geometry.

Summary:
Distance to the lowest polymorph of the same formula   0.000 eV/atom
Energy of formation   0.501 eV per atom
Space group   Pm-3m
V   299.9 Å³/f.u.
Total DFT energy (no corrections)   -1.154 eV per atom
Size of the total moment   0.000 μB per formula unit

Cell lengths 6.6940, 6.6940, 6.6940 Å; angles 90.00, 90.00, 90.00 degrees
Fractional coordinates of all 5 atoms:
Cs (0.5000, 0.5000, 0.5000)
Li (0.0000, 0.5000, 0.0000)
Li (0.5000, 0.0000, 0.0000)
Li (0.0000, 0.0000, 0.5000)
Sr (0.0000, 0.0000, 0.0000)

# 19
DFT (PBE) results for crystalline CsSrLi3 at its relaxed geometry.

Summary:
Distance to the lowest polymorph of the same formula   0.085 eV/atom
Energy of formation   0.586 eV per atom
Space group   Pm-3m
V   216.1 Å³/f.u.
Total DFT energy (no corrections)   -1.069 eV per atom
Size of the total moment   0.000 μB per formula unit

Cell lengths 6.0006, 6.0006, 6.0006 Å; angles 90.00, 90.00, 90.00 degrees
Fractional coordinates of all 5 atoms:
Cs (0.0000, 0.0000, 0.0000)
Li (0.0000, 0.0000, 0.5000)
Li (0.0000, 0.5000, 0.0000)
Li (0.5000, 0.0000, 0.0000)
Sr (0.5000, 0.5000, 0.5000)

# 20
DFT (PBE) results for crystalline Cs2SrLi at its relaxed geometry.

Summary:
Energy of formation   0.275 eV per atom
Space group   Fm-3m
V   289.6 Å³/f.u.
Total DFT energy (no corrections)   -1.051 eV per atom
Size of the total moment   0.000 μB per formula unit

Cell lengths 7.4262, 7.4262, 7.4262 Å; angles 60.00, 60.00, 60.00 degrees
Fractional coordinates of all 4 atoms:
Cs (0.2500, 0.2500, 0.2500)
Cs (0.7500, 0.7500, 0.7500)
Li (0.0000, 0.0000, 0.0000)
Sr (0.5000, 0.5000, 0.5000)